1.
LaIrBr2 | GGA-PBEsol | optimized geometry

a b c (Å): 3.4588 3.4588 27.5733
angles (deg): 90.00 90.00 120.00
Atoms (fractional coordinates):
La: 0.0000 0.0000 0.0000
La: 0.3333 0.6667 0.6667
La: 0.6667 0.3333 0.3333
Ir: 0.0000 0.0000 0.5000
Ir: 0.3333 0.6667 0.1667
Ir: 0.6667 0.3333 0.8333
Br: 0.0000 0.0000 0.4131
Br: 0.0000 0.0000 0.5869
Br: 0.3333 0.6667 0.0798
Br: 0.3333 0.6667 0.2536
Br: 0.6667 0.3333 0.7464
Br: 0.6667 0.3333 0.9202

Calculated values
Total moment   0.0 μB/f.u.
Excess energy over the best structure of this formula in the dataset   326 meV per atom
VASP energy   -58.194 eV/cell

---

2.
GdMn2Ge2 | GGA-PBEsol | optimized geometry

a b c (Å): 3.8960 3.8960 10.6881
angles (deg): 90.00 90.00 90.00
Atoms (fractional coordinates):
Gd: 0.0000 0.0000 0.0000
Gd: 0.5000 0.5000 0.5000
Mn: 0.0000 0.5000 0.2500
Mn: 0.0000 0.5000 0.7500
Mn: 0.5000 0.0000 0.2500
Mn: 0.5000 0.0000 0.7500
Ge: 0.0000 0.0000 0.3796
Ge: 0.0000 0.0000 0.6204
Ge: 0.5000 0.5000 0.1204
Ge: 0.5000 0.5000 0.8796

Calculated values
Total moment   10.8 μB/f.u.
Formation energy   -0.475 eV/atom
VASP energy   -92.451 eV/cell

---

3.
CaTeAu4 | GGA-PBEsol | optimized geometry

a b c (Å): 5.5709 5.5709 5.5709
angles (deg): 60.00 60.00 60.00
Atoms (fractional coordinates):
Ca: 0.0000 0.0000 0.0000
Te: 0.2500 0.2500 0.2500
Au: 0.1244 0.6252 0.6252
Au: 0.6252 0.1244 0.6252
Au: 0.6252 0.6252 0.1244
Au: 0.6252 0.6252 0.6252

Calculated values
Total moment   0.0 μB/f.u.
VASP energy   -24.129 eV/cell

---

4.
TaCoAs | GGA-PBEsol | optimized geometry

a b c (Å): 6.2037 3.7120 7.0682
angles (deg): 90.00 90.00 90.00
Atoms (fractional coordinates):
Ta: 0.0213 0.2500 0.1718
Ta: 0.4787 0.7500 0.6718
Ta: 0.5213 0.2500 0.3282
Ta: 0.9787 0.7500 0.8282
Co: 0.1565 0.2500 0.5673
Co: 0.3435 0.7500 0.0673
Co: 0.6565 0.2500 0.9327
Co: 0.8435 0.7500 0.4327
As: 0.2171 0.7500 0.3802
As: 0.2829 0.2500 0.8802
As: 0.7171 0.7500 0.1198
As: 0.7829 0.2500 0.6198

Calculated values
Total moment   0.0 μB/f.u.
Formation energy   -0.499 eV/atom
VASP energy   -107.572 eV/cell